1.
# PmGa (PBE, optimized geometry)
# **Magnetic moment**: 0.0194 μB per atom
# **Mass density**: 4.83 Mg/m³
# **Calculated volume**: 295.58 Å³/cell
# **Uncorrected energy**: -27.66 eV/cell
data_PmGa
_chemical_formula_sum 'Pm4 Ga4'
_cell_length_a 6.661
_cell_length_b 6.661
_cell_length_c 6.661
_cell_angle_alpha 90.00
_cell_angle_beta 90.00
_cell_angle_gamma 90.00
_symmetry_space_group_name_H-M 'F -4 3 m'
_symmetry_Int_Tables_number 216
_symmetry_space_group_name_Hall 'F -4 2 3'
loop_
_atom_site_label
_atom_site_fract_x
_atom_site_fract_y
_atom_site_fract_z
Pm1 0.000 0.000 0.000
Ga1 0.250 0.250 0.250


2.
# Mg2ScAg (PBE, optimized geometry)
# **Magnetic moment**: 0.0011 μB per atom
# **Mass density**: 4.16 Mg/m³
# **Calculated volume**: 321.53 Å³/cell
# **Uncorrected energy**: -51.53 eV/cell
data_Mg2ScAg
_chemical_formula_sum 'Mg8 Sc4 Ag4'
_cell_length_a 6.851
_cell_length_b 6.851
_cell_length_c 6.851
_cell_angle_alpha 90.00
_cell_angle_beta 90.00
_cell_angle_gamma 90.00
_symmetry_space_group_name_H-M 'F -4 3 m'
_symmetry_Int_Tables_number 216
_symmetry_space_group_name_Hall 'F -4 2 3'
loop_
_atom_site_label
_atom_site_fract_x
_atom_site_fract_y
_atom_site_fract_z
Mg1 0.000 0.000 0.000
Mg2 0.250 0.250 0.250
Sc1 0.000 0.000 0.500
Ag1 0.250 0.250 0.750


3.
# KNdIn (PBE, optimized geometry)
# **Magnetic moment**: 0.0077 μB per atom
# **Mass density**: 3.71 Mg/m³
# **Energy relative to the lowest polymorph listed for this composition**: 0.000 eV/atom
# **Calculated volume**: 533.75 Å³/cell
# **Uncorrected energy**: -28.95 eV/cell
data_KNdIn
_chemical_formula_sum 'K4 Nd4 In4'
_cell_length_a 8.112
_cell_length_b 8.112
_cell_length_c 8.112
_cell_angle_alpha 90.00
_cell_angle_beta 90.00
_cell_angle_gamma 90.00
_symmetry_space_group_name_H-M 'F -4 3 m'
_symmetry_Int_Tables_number 216
_symmetry_space_group_name_Hall 'F -4 2 3'
loop_
_atom_site_label
_atom_site_fract_x
_atom_site_fract_y
_atom_site_fract_z
K1 0.000 0.000 0.000
Nd1 0.250 0.250 0.750
In1 0.000 0.000 0.500


4.
# CsCuOsSe2S (PBE, optimized geometry)
# **Magnetic moment**: 0.1307 μB per atom
# **Mass density**: 6.56 Mg/m³
# **Calculated volume**: 583.82 Å³/cell
# **Uncorrected energy**: -114.49 eV/cell
data_CsCuOsSe2S
_chemical_formula_sum 'Cs4 Cu4 Os4 Se8 S4'
_cell_length_a 3.867
_cell_length_b 15.867
_cell_length_c 9.514
_cell_angle_alpha 90.00
_cell_angle_beta 90.00
_cell_angle_gamma 90.00
_symmetry_space_group_name_H-M 'C m c m'
_symmetry_Int_Tables_number 63
_symmetry_space_group_name_Hall '-C 2c 2'
loop_
_atom_site_label
_atom_site_fract_x
_atom_site_fract_y
_atom_site_fract_z
Cs1 0.000 0.248 0.250
Cu1 0.000 0.023 0.750
Os1 0.000 0.500 0.000
Se1 0.000 0.102 0.540
S1 0.000 0.444 0.750


5.
# YTaAl (PBE, optimized geometry)
# **Magnetic moment**: 0.0014 μB per atom
# **Mass density**: 6.88 Mg/m³
# **Energy relative to the lowest polymorph listed for this composition**: 0.000 eV/atom
# **Calculated volume**: 286.58 Å³/cell
# **Uncorrected energy**: -82.50 eV/cell
data_YTaAl
_chemical_formula_sum 'Y4 Ta4 Al4'
_cell_length_a 6.593
_cell_length_b 6.593
_cell_length_c 6.593
_cell_angle_alpha 90.00
_cell_angle_beta 90.00
_cell_angle_gamma 90.00
_symmetry_space_group_name_H-M 'F -4 3 m'
_symmetry_Int_Tables_number 216
_symmetry_space_group_name_Hall 'F -4 2 3'
loop_
_atom_site_label
_atom_site_fract_x
_atom_site_fract_y
_atom_site_fract_z
Y1 0.000 0.000 0.000
Ta1 0.000 0.000 0.500
Al1 0.250 0.250 0.750


6.
# LaBeBiOs (PBE, optimized geometry)
# **Magnetic moment**: 0.0000 μB per atom
# **Mass density**: 11.17 Mg/m³
# **Energy relative to the lowest polymorph listed for this composition**: 0.000 eV/atom
# **Calculated volume**: 325.23 Å³/cell
# **Uncorrected energy**: -89.84 eV/cell
data_LaBeBiOs
_chemical_formula_sum 'La4 Be4 Bi4 Os4'
_cell_length_a 6.877
_cell_length_b 6.877
_cell_length_c 6.877
_cell_angle_alpha 90.00
_cell_angle_beta 90.00
_cell_angle_gamma 90.00
_symmetry_space_group_name_H-M 'F -4 3 m'
_symmetry_Int_Tables_number 216
_symmetry_space_group_name_Hall 'F -4 2 3'
loop_
_atom_site_label
_atom_site_fract_x
_atom_site_fract_y
_atom_site_fract_z
La1 0.000 0.000 0.000
Be1 0.250 0.250 0.750
Bi1 0.250 0.250 0.250
Os1 0.000 0.000 0.500


7.
# ZnCuPdW (PBE, optimized geometry)
# **Magnetic moment**: 0.0003 μB per atom
# **Mass density**: 12.11 Mg/m³
# **Energy relative to the lowest polymorph listed for this composition**: 0.035 eV/atom
# **Calculated volume**: 229.95 Å³/cell
# **Uncorrected energy**: -87.94 eV/cell
# **Calculated formation energy**: 0.283 eV/atom
data_ZnCuPdW
_chemical_formula_sum 'Zn4 Cu4 Pd4 W4'
_cell_length_a 6.126
_cell_length_b 6.126
_cell_length_c 6.126
_cell_angle_alpha 90.00
_cell_angle_beta 90.00
_cell_angle_gamma 90.00
_symmetry_space_group_name_H-M 'F -4 3 m'
_symmetry_Int_Tables_number 216
_symmetry_space_group_name_Hall 'F -4 2 3'
loop_
_atom_site_label
_atom_site_fract_x
_atom_site_fract_y
_atom_site_fract_z
Zn1 0.000 0.000 0.000
Cu1 0.250 0.250 0.250
Pd1 0.000 0.000 0.500
W1 0.250 0.250 0.750


8.
# TmPtNO (PBE, optimized geometry)
# **Magnetic moment**: 0.0002 μB per atom
# **Mass density**: 11.67 Mg/m³
# **Energy relative to the lowest polymorph listed for this composition**: 0.000 eV/atom
# **Calculated volume**: 224.29 Å³/cell
# **Uncorrected energy**: -119.80 eV/cell
data_TmPtNO
_chemical_formula_sum 'Tm4 Pt4 N4 O4'
_cell_length_a 5.538
_cell_length_b 7.602
_cell_length_c 5.327
_cell_angle_alpha 90.00
_cell_angle_beta 90.00
_cell_angle_gamma 90.00
_symmetry_space_group_name_H-M 'P c a 21'
_symmetry_Int_Tables_number 29
loop_
_symmetry_equiv_pos_as_xyz
'x,y,z'
'-x,-y,z+1/2'
'-x+1/2,y,z+1/2'
'x+1/2,-y,z'
loop_
_atom_site_label
_atom_site_fract_x
_atom_site_fract_y
_atom_site_fract_z
Tm1 0.031 0.137 0.000
Pt1 0.059 0.464 0.646
N1 0.140 0.341 0.318
O1 0.249 0.971 0.746


9.
# HfMg2Al (PBE, optimized geometry)
# **Magnetic moment**: 0.0236 μB per atom
# **Mass density**: 5.29 Mg/m³
# **Calculated volume**: 318.97 Å³/cell
# **Uncorrected energy**: -66.21 eV/cell
data_HfMg2Al
_chemical_formula_sum 'Hf4 Mg8 Al4'
_cell_length_a 6.833
_cell_length_b 6.833
_cell_length_c 6.833
_cell_angle_alpha 90.00
_cell_angle_beta 90.00
_cell_angle_gamma 90.00
_symmetry_space_group_name_H-M 'F -4 3 m'
_symmetry_Int_Tables_number 216
_symmetry_space_group_name_Hall 'F -4 2 3'
loop_
_atom_site_label
_atom_site_fract_x
_atom_site_fract_y
_atom_site_fract_z
Hf1 0.000 0.000 0.000
Mg1 0.000 0.000 0.500
Mg2 0.250 0.250 0.250
Al1 0.250 0.250 0.750


10.
# ScNbFeSn (PBE, optimized geometry)
# **Magnetic moment**: 0.4755 μB per atom
# **Mass density**: 7.49 Mg/m³
# **Energy relative to the lowest polymorph listed for this composition**: 0.000 eV/atom
# **Calculated volume**: 277.10 Å³/cell
# **Uncorrected energy**: -113.58 eV/cell
data_ScNbFeSn
_chemical_formula_sum 'Sc4 Nb4 Fe4 Sn4'
_cell_length_a 6.519
_cell_length_b 6.519
_cell_length_c 6.519
_cell_angle_alpha 90.00
_cell_angle_beta 90.00
_cell_angle_gamma 90.00
_symmetry_space_group_name_H-M 'F -4 3 m'
_symmetry_Int_Tables_number 216
_symmetry_space_group_name_Hall 'F -4 2 3'
loop_
_atom_site_label
_atom_site_fract_x
_atom_site_fract_y
_atom_site_fract_z
Sc1 0.000 0.000 0.000
Nb1 0.250 0.250 0.750
Fe1 0.000 0.000 0.500
Sn1 0.250 0.250 0.250


11.
# Y2ZrScSb2 (PBE, optimized geometry)
# **Magnetic moment**: 0.1696 μB per atom
# **Mass density**: 6.04 Mg/m³
# **Calculated volume**: 306.56 Å³/cell
# **Uncorrected energy**: -81.92 eV/cell
data_Y2ZrScSb2
_chemical_formula_sum 'Y4 Zr2 Sc2 Sb4'
_cell_length_a 4.307
_cell_length_b 4.323
_cell_length_c 16.464
_cell_angle_alpha 90.00
_cell_angle_beta 90.00
_cell_angle_gamma 90.00
_symmetry_space_group_name_H-M 'I m m m'
_symmetry_Int_Tables_number 71
_symmetry_space_group_name_Hall '-I 2 2'
loop_
_atom_site_label
_atom_site_fract_x
_atom_site_fract_y
_atom_site_fract_z
Y1 0.000 0.000 0.176
Zr1 0.000 0.500 0.500
Sc1 0.000 0.500 0.000
Sb1 0.000 0.000 0.368


12.
# Tb2Co12P7 (PBE, optimized geometry)
# **Magnetic moment**: 0.2379 μB per atom
# **Mass density**: 8.23 Mg/m³
# **Calculated volume**: 250.47 Å³/cell
# **Uncorrected energy**: -149.13 eV/cell
data_Tb2Co12P7
_chemical_formula_sum 'Tb2 Co12 P7'
_cell_length_a 8.9836
_cell_length_b 8.9836
_cell_length_c 3.5837
_cell_angle_alpha 90.00
_cell_angle_beta 90.00
_cell_angle_gamma 120.00
_symmetry_space_group_name_H-M 'P -6'
_symmetry_Int_Tables_number 174
loop_
_symmetry_equiv_pos_as_xyz
'x,y,z'
'-x+y,-x,-z'
'-y,x-y,z'
'x,y,-z'
'-x+y,-x,z'
'-y,x-y,-z'
loop_
_atom_site_label
_atom_site_fract_x
_atom_site_fract_y
_atom_site_fract_z
Tb1 0.0000 0.0000 0.0000
Tb2 0.3333 0.6667 0.5000
Co1 0.0495 0.7675 0.5000
Co2 0.0999 0.3932 0.0000
Co3 0.3937 0.2145 0.0000
Co4 0.5378 0.1038 0.5000
P1 0.0731 0.6278 0.0000
P2 0.2653 0.0423 0.5000
P3 0.6667 0.3333 0.0000